This record from Alexandria via LeMat-Bulk describes an optimized crystal structure of Na3In7. The functional is PBE-GGA.

Summary:
* calculated total energy: -2.40 eV per atom
* total magnetic moment: 0.00 μB per formula unit
* density: 5.51 g/cm³
* space group: No. 12
* E_form: -0.087 eV/atom
* Fermi-level density of states: 4.659 states/eV per cell

Geometry as CIF:
```
data_Na3In7
_symmetry_space_group_name_H-M 'P 1'
_symmetry_Int_Tables_number 1
_cell_length_a 4.646
_cell_length_b 6.786
_cell_length_c 9.894
_cell_angle_alpha 119.01
_cell_angle_beta 103.58
_cell_angle_gamma 90.00
loop_
_symmetry_equiv_pos_as_xyz
'x,y,z'
loop_
_atom_site_label
_atom_site_type_symbol
_atom_site_fract_x
_atom_site_fract_y
_atom_site_fract_z
_atom_site_occupancy
Na1 Na 0.000 0.000 0.000 1
In1 In 0.396 0.601 0.793 1
In2 In 0.404 0.113 0.808 1
In3 In 0.803 0.707 0.606 1
In4 In 0.000 0.500 0.000 1
In5 In 0.596 0.887 0.192 1
In6 In 0.197 0.293 0.394 1
Na2 Na 0.199 0.795 0.399 1
Na3 Na 0.801 0.205 0.601 1
In7 In 0.604 0.399 0.207 1
```



This record from Alexandria via LeMat-Bulk describes an optimized crystal structure of AcMg6Tl6. The functional is PBE-GGA.

Summary:
* calculated total energy: -2.28 eV per atom
* total magnetic moment: 0.00 μB per formula unit
* density: 7.82 g/cm³
* space group: No. 71
* E_form: -0.131 eV/atom
* Fermi-level density of states: 5.809 states/eV per cell

Geometry as CIF:
```
data_AcMg6Tl6
_symmetry_space_group_name_H-M 'P 1'
_symmetry_Int_Tables_number 1
_cell_length_a 6.268
_cell_length_b 8.009
_cell_length_c 8.009
_cell_angle_alpha 77.44
_cell_angle_beta 66.96
_cell_angle_gamma 66.96
loop_
_symmetry_equiv_pos_as_xyz
'x,y,z'
loop_
_atom_site_label
_atom_site_type_symbol
_atom_site_fract_x
_atom_site_fract_y
_atom_site_fract_z
_atom_site_occupancy
Mg1 Mg 0.500 0.758 0.242 1
Mg2 Mg 0.000 0.000 0.500 1
Mg3 Mg 0.500 0.500 0.000 1
Tl1 Tl 0.000 0.346 0.654 1
Tl2 Tl 0.327 0.173 0.173 1
Ac1 Ac 0.000 0.000 0.000 1
Tl3 Tl 0.673 0.827 0.827 1
Tl4 Tl 0.658 0.342 0.342 1
Mg4 Mg 0.500 0.242 0.758 1
Mg5 Mg 0.500 0.000 0.500 1
Mg6 Mg 0.000 0.500 0.000 1
Tl5 Tl 0.000 0.654 0.346 1
Tl6 Tl 0.342 0.658 0.658 1
```



This record from Alexandria via LeMat-Bulk describes an optimized crystal structure of YNb2NiH. The functional is PBE-GGA.

Summary:
* calculated total energy: -6.39 eV per atom
* total magnetic moment: 0.00 μB per formula unit
* density: 6.54 g/cm³
* space group: No. 123
* Fermi-level density of states: 6.501 states/eV per cell

Geometry as CIF:
```
data_YNb2NiH
_symmetry_space_group_name_H-M 'P 1'
_symmetry_Int_Tables_number 1
_cell_length_a 5.213
_cell_length_b 3.126
_cell_length_c 5.213
_cell_angle_alpha 90.00
_cell_angle_beta 90.00
_cell_angle_gamma 90.00
loop_
_symmetry_equiv_pos_as_xyz
'x,y,z'
loop_
_atom_site_label
_atom_site_type_symbol
_atom_site_fract_x
_atom_site_fract_y
_atom_site_fract_z
_atom_site_occupancy
Nb1 Nb 0.500 0.000 0.000 1
H1 H 0.000 0.500 0.000 1
Nb2 Nb 0.000 0.000 0.500 1
Y1 Y 0.500 0.500 0.500 1
Ni1 Ni 0.000 0.000 0.000 1
```



This record from Alexandria via LeMat-Bulk describes an optimized crystal structure of MgP2Ru. The functional is PBE-GGA.

Summary:
* calculated total energy: -5.42 eV per atom
* total magnetic moment: 0.00 μB per formula unit
* density: 5.34 g/cm³
* space group: No. 47
* E_form: -0.001 eV/atom
* Fermi-level density of states: 2.344 states/eV per cell

Geometry as CIF:
```
data_MgP2Ru
_symmetry_space_group_name_H-M 'P 1'
_symmetry_Int_Tables_number 1
_cell_length_a 3.945
_cell_length_b 4.594
_cell_length_c 3.214
_cell_angle_alpha 90.00
_cell_angle_beta 90.00
_cell_angle_gamma 90.00
loop_
_symmetry_equiv_pos_as_xyz
'x,y,z'
loop_
_atom_site_label
_atom_site_type_symbol
_atom_site_fract_x
_atom_site_fract_y
_atom_site_fract_z
_atom_site_occupancy
P1 P 0.000 0.000 0.000 1
Ru1 Ru 0.500 0.000 0.500 1
Mg1 Mg 0.000 0.500 0.500 1
P2 P 0.500 0.500 0.000 1
```



This record from Alexandria via LeMat-Bulk describes an optimized crystal structure of BaAcPAu. The functional is PBE-GGA.

Summary:
* calculated total energy: -4.46 eV per atom
* total magnetic moment: 0.00 μB per formula unit
* density: 8.32 g/cm³
* space group: No. 216
* E_form: -0.782 eV/atom
* Fermi-level density of states: 3.736 states/eV per cell

Geometry as CIF:
```
data_BaAcPAu
_symmetry_space_group_name_H-M 'P 1'
_symmetry_Int_Tables_number 1
_cell_length_a 5.508
_cell_length_b 5.508
_cell_length_c 5.508
_cell_angle_alpha 60.00
_cell_angle_beta 60.00
_cell_angle_gamma 60.00
loop_
_symmetry_equiv_pos_as_xyz
'x,y,z'
loop_
_atom_site_label
_atom_site_type_symbol
_atom_site_fract_x
_atom_site_fract_y
_atom_site_fract_z
_atom_site_occupancy
P1 P 0.500 0.500 0.500 1
Ba1 Ba 0.250 0.250 0.250 1
Au1 Au 0.000 0.000 0.000 1
Ac1 Ac 0.750 0.750 0.750 1
```



This record from Alexandria via LeMat-Bulk describes an optimized crystal structure of Nd3Sm2Er6Pb. The functional is PBE-GGA.

Summary:
* calculated total energy: -4.63 eV per atom
* total magnetic moment: 0.00 μB per formula unit
* density: 8.57 g/cm³
* space group: No. 12
* E_form: -0.061 eV/atom
* Fermi-level density of states: 14.302 states/eV per cell

Geometry as CIF:
```
data_Nd3Sm2Er6Pb
_symmetry_space_group_name_H-M 'P 1'
_symmetry_Int_Tables_number 1
_cell_length_a 6.138
_cell_length_b 6.138
_cell_length_c 11.726
_cell_angle_alpha 95.02
_cell_angle_beta 95.02
_cell_angle_gamma 119.99
loop_
_symmetry_equiv_pos_as_xyz
'x,y,z'
loop_
_atom_site_label
_atom_site_type_symbol
_atom_site_fract_x
_atom_site_fract_y
_atom_site_fract_z
_atom_site_occupancy
Er1 Er 0.755 0.755 0.247 1
Er2 Er 0.245 0.245 0.753 1
Er3 Er 0.591 0.918 0.754 1
Sm1 Sm 0.334 0.666 0.000 1
Nd1 Nd 0.832 0.168 0.500 1
Sm2 Sm 0.666 0.334 0.000 1
Nd2 Nd 0.168 0.832 0.500 1
Er4 Er 0.918 0.591 0.754 1
Nd3 Nd 0.500 0.500 0.500 1
Pb1 Pb 0.000 0.000 0.000 1
Er5 Er 0.409 0.082 0.246 1
Er6 Er 0.082 0.409 0.246 1
```



Q: Which value of total magnetic moment does entry 6 give?
A: 0.00 μB per formula unit